(1)
## PC3 (PBE-GGA)

Data for crystalline PC3 at its relaxed geometry.

Structure (extended XYZ):
```
4
Lattice="3.262 0.000 0.000 0.000 3.262 0.000 0.000 0.000 3.262" Properties=species:S:1:pos:R:3 pbc="T T T"
P 0.000 0.000 0.000
C 0.000 1.631 1.631
C 1.631 0.000 1.631
C 1.631 1.631 0.000
```

## Properties
DOS at the Fermi energy = 0.443 states/eV per atom
Magnetic moment = 0.000 μB/atom
E above lowest polymorph = 2860.8 meV/atom
Formation enthalpy at 0 K = 1352.2 kJ/mol of formula units
Total energy = -4.7666 eV per atom
V = 35 Å³/f.u.
Crystal system = cubic

(2)
## PC3 (PBE-GGA)

Data for crystalline PC3 at its relaxed geometry.

Structure (extended XYZ):
```
4
Lattice="-2.005 2.816 -0.732 -2.516 -1.233 2.152 1.070 1.277 1.982" Properties=species:S:1:pos:R:3 pbc="T T T"
P -0.723 0.022 2.067
C 0.000 0.000 0.000
C -0.468 2.046 0.625
C -2.261 0.791 0.710
```

## Properties
DOS at the Fermi energy = 0.349 states/eV per atom
Magnetic moment = 0.000 μB/atom
E above lowest polymorph = 2672.4 meV/atom
Formation enthalpy at 0 K = 1279.5 kJ/mol of formula units
Total energy = -4.9550 eV per atom
V = 32 Å³/f.u.
Crystal system = tetragonal

(3)
## PC2 (PBE-GGA)

Data for crystalline PC2 at its relaxed geometry.

Structure (extended XYZ):
```
3
Lattice="2.473 0.000 0.000 -1.236 3.991 0.000 -0.110 -0.253 4.392" Properties=species:S:1:pos:R:3 pbc="T T T"
P 0.439 2.535 0.933
C 1.676 0.197 0.175
C 0.438 0.882 0.177
```

## Properties
DOS at the Fermi energy = 0.090 states/eV per atom
Magnetic moment = 0.000 μB/atom
E above lowest polymorph = 279.8 meV/atom
Formation enthalpy at 0 K = 147.5 kJ/mol of formula units
Total energy = -7.4431 eV per atom
V = 43 Å³/f.u.
Crystal system = triclinic

(4)
## PC2 (PBE-GGA)

Data for crystalline PC2 at its relaxed geometry.

Structure (extended XYZ):
```
12
Lattice="-1.393 2.198 -2.252 1.915 -5.434 -6.488 -4.077 -2.054 0.517" Properties=species:S:1:pos:R:3 pbc="T T T"
P -0.418 -3.830 -4.794
P -2.881 -4.530 -6.583
P -0.674 -0.760 -1.640
P -3.137 -1.460 -3.428
C 1.315 -4.904 -6.914
C -2.314 -2.297 -4.755
C -1.242 -2.993 -3.468
C -4.870 -0.386 -1.308
C -1.726 -2.135 -2.331
C -4.694 -1.400 -2.406
C 1.139 -3.891 -5.816
C -1.830 -3.155 -5.892
```

## Properties
DOS at the Fermi energy = 0.156 states/eV per atom
Magnetic moment = 0.000 μB/atom
E above lowest polymorph = 1025.4 meV/atom
Formation enthalpy at 0 K = 363.3 kJ/mol of formula units
Total energy = -6.6975 eV per atom
V = 34 Å³/f.u.
Crystal system = orthorhombic